Here is an optimized crystal structure of BaY2GaTc from the Alexandria database. Energies are from PBE.

Calculated values
Calculated volume   33.0 A^3/atom
Magnetization   0.25 μB per formula unit
DOS(E_F)   1.895 states/eV/atom
Formation energy from the elements   2.005 eV/atom
Energy   -3.64 eV/atom

Cell: 5.605 5.605 5.251 Å, 90.00 90.00 90.00°
Sites, in units of the cell vectors:
1 Ba 0.000 0.000 0.000
2 Y 0.000 0.500 0.000
3 Y 0.500 0.000 0.000
4 Ga 0.000 0.000 0.500
5 Tc 0.500 0.500 0.500